A geometry-optimized MgTc3Cl structure. Source: the Alexandria database, functional GGA-PBEsol.

Structure (POSCAR):
```
MgTc3Cl
1.0
4.310 0.000 0.000
0.000 4.310 0.000
0.000 0.000 4.310
Mg Tc Cl
1 3 1
Direct
0.000 0.000 0.000 Mg
0.000 0.500 0.500 Tc
0.500 0.000 0.500 Tc
0.500 0.500 0.000 Tc
0.500 0.500 0.500 Cl
```

E_form (uncorrected) in meV/atom: 863
E above lowest polymorph in meV/atom: 0